Computed, not measured: a relaxed Er6NiI10 crystal at the GGA-PBEsol level of DFT.

## Properties
Volume: 587.51 Å³/f.u.
Symmetry: P-1, No. 2
Raw formation energy: -20.10 eV per formula unit
Total energy: -4.323 eV per atom

Cell lengths 7.4464, 9.3362, 9.3534 Å; angles 107.12, 96.91, 104.72 degrees
Closest atoms and distances in Å follow each position.
Fractional positions:
Er 0.0309 0.2179 0.4153  1 Ni 2.60
Er 0.1127 0.5400 0.2620  1 Ni 2.57
Er 0.3429 0.6215 0.6622  1 Ni 2.59
Er 0.6571 0.3785 0.3378  1 Ni 2.59
Er 0.8873 0.4600 0.7380  1 Ni 2.57
Er 0.9691 0.7821 0.5847  1 Ni 2.60
Ni 0.0000 0.5000 0.5000  6 Er 2.57-2.60
I 0.0872 0.8760 0.3152  3 Er 3.06-3.20
I 0.2260 0.2395 0.1483  3 Er 3.06-3.21
I 0.2641 0.5899 0.9683  3 Er 3.04-3.20
I 0.3579 0.9581 0.7761  2 Er 2.97-2.98
I 0.4524 0.3096 0.5947  4 Er 3.13-3.15
I 0.5476 0.6904 0.4053  4 Er 3.13-3.15
I 0.6421 0.0419 0.2239  2 Er 2.97-2.98
I 0.7359 0.4101 0.0317  3 Er 3.04-3.20
I 0.7740 0.7605 0.8517  3 Er 3.06-3.21
I 0.9128 0.1240 0.6848  3 Er 3.06-3.20